# Rb3FeGe2O6

Crystalline Rb3FeGe2O6 at its relaxed geometry (GGA+U, Alexandria via LeMat-Bulk).

Output
Space-group type: P-3m1, No. 164
VASP energy, eV per atom: -5.3611
Crystal system: trigonal
Mass density, g/cm3: 4.2

Structure (POSCAR):
```
Rb3FeGe2O6
1.0
5.8948 0.0000 0.0000
-2.9474 5.1051 0.0000
0.0000 0.0000 7.3355
Rb Fe Ge O
3 1 2 6
Direct
0.0000 0.0000 0.0000 Rb
0.3333 0.6667 0.7051 Rb
0.6667 0.3333 0.2949 Rb
0.0000 0.0000 0.5000 Fe
0.3333 0.6667 0.2654 Ge
0.6667 0.3333 0.7346 Ge
0.1650 0.3299 0.3323 O
0.1650 0.8350 0.3323 O
0.3299 0.1650 0.6677 O
0.6701 0.8350 0.3323 O
0.8350 0.1650 0.6677 O
0.8350 0.6701 0.6677 O
```